Entry 1:
# SrCoOs2 PBE-GGA optimized geometry
# * SG: I-42d (122)
# * E_form: 0.88 eV per atom
# * D(E_F): 11.6 states/eV per cell
# * calculated total energy: -6.936 eV/atom
data_SrCoOs2
_chemical_formula_sum 'Sr2 Co2 Os4'
_space_group_name_H-M_alt 'P 1'
_space_group_IT_number 1
_cell_length_a 4.8381
_cell_length_b 4.8381
_cell_length_c 8.7892
_cell_angle_alpha 74.02
_cell_angle_beta 74.02
_cell_angle_gamma 90.00
loop_
_space_group_symop_operation_xyz
'x,y,z'
loop_
_atom_site_label
_atom_site_fract_x
_atom_site_fract_y
_atom_site_fract_z
Sr1 0.0000 0.0000 0.0000
Sr2 0.7500 0.2500 0.5000
Os1 0.3973 0.1250 0.2500
Os2 0.3527 0.6250 0.2500
Os3 0.3750 0.6027 0.7500
Os4 0.8750 0.6473 0.7500
Co1 0.5000 0.5000 0.0000
Co2 0.2500 0.7500 0.5000

***

Entry 2:
# Pm8GaCo3Cl4 PBE-GGA optimized geometry
# * SG: R-3m (166)
# * D(E_F): 12.9 states/eV per cell
# * formation energy (no corrections): -840 meV/atom
# * calculated total energy: -5.198 eV/atom
data_Pm8GaCo3Cl4
_chemical_formula_sum 'Pm8 Ga1 Co3 Cl4'
_space_group_name_H-M_alt 'P 1'
_space_group_IT_number 1
_cell_length_a 8.0445
_cell_length_b 8.7508
_cell_length_c 8.0453
_cell_angle_alpha 117.38
_cell_angle_beta 120.00
_cell_angle_gamma 90.00
loop_
_space_group_symop_operation_xyz
'x,y,z'
loop_
_atom_site_label
_atom_site_fract_x
_atom_site_fract_y
_atom_site_fract_z
Pm1 0.2451 0.7074 0.9626
Pm2 0.2447 0.7064 0.4894
Pm3 0.2652 0.2948 0.5303
Pm4 0.7176 0.7074 0.9626
Pm5 0.2824 0.2926 0.0374
Pm6 0.7348 0.7052 0.4697
Pm7 0.7553 0.2936 0.5106
Pm8 0.7549 0.2926 0.0374
Ga1 0.0000 0.5000 0.0000
Co1 0.5000 0.5000 0.0000
Co2 0.5000 0.5000 0.5000
Co3 0.0000 0.5000 0.5000
Cl1 0.5000 0.0000 0.0000
Cl2 0.5000 0.0000 0.5000
Cl3 0.0000 0.0000 0.0000
Cl4 0.0000 0.0000 0.5000

***

> The highest calculated total energy belongs to which entry?

Pm8GaCo3Cl4

***

> Number 2 is which compound?

Pm8GaCo3Cl4

***

> Which value of D(E_F) does entry 1 give?

11.6 states/eV per cell